Density functional theory data (GGA-PBE) for Ba3SrGa2 after structural relaxation.

Computed properties:
As for the symmetry: Pmc2_1 (26). The calculation puts the formation energy at -0.236 eV per atom.

a = 5.6735 Å, b = 10.5518 Å, c = 8.0230 Å
α = 90.00°, β = 90.00°, γ = 90.00°
Closest atoms and distances in Å follow each position.
Sites, in units of the cell vectors:
Ba 0.0000 0.0720 0.0000  3 Ga 3.49-3.56
Ba 0.0000 0.3297 0.3548  4 Ga 3.34-3.52
Ba 0.0000 0.6703 0.8548  4 Ga 3.34-3.52
Ba 0.0000 0.9280 0.5000  3 Ga 3.49-3.56
Ba 0.5000 0.1743 0.6764  4 Ga 3.44-3.54
Ba 0.5000 0.8257 0.1764  4 Ga 3.44-3.54
Sr 0.5000 0.4318 0.0332  3 Ga 3.45-3.56
Sr 0.5000 0.5682 0.5332  3 Ga 3.45-3.56
Ga 0.0000 0.3585 0.7834  5 Ba 3.34-3.54, 2 Sr 3.56
Ga 0.0000 0.6415 0.2834  5 Ba 3.34-3.54, 2 Sr 3.56
Ga 0.5000 0.1486 0.2492  6 Ba 3.44-3.56, 1 Sr 3.45
Ga 0.5000 0.8514 0.7492  6 Ba 3.44-3.56, 1 Sr 3.45

=====

Density functional theory data (GGA-PBE) for PuZrTeN2 after structural relaxation.

Computed properties:
As for the symmetry: P2_1/m (11). For the formation energy (no corrections), the calculation gives -1300 meV per atom.

a = 6.7342 Å, b = 3.9932 Å, c = 7.5919 Å
α = 90.00°, β = 107.43°, γ = 90.00°
Closest atoms and distances in Å follow each position.
Sites, in units of the cell vectors:
Pu 0.1738 0.2500 0.4252  4 N 2.21-2.25
Pu 0.8262 0.7500 0.5748  4 N 2.21-2.25
Zr 0.1411 0.2500 0.9087  4 N 2.13-2.19
Zr 0.8589 0.7500 0.0913  4 N 2.13-2.19
Te 0.4539 0.7500 0.7644  3 Zr 3.09-3.32, 3 Pu 3.24-3.36, 2 N 3.39-3.41
Te 0.5461 0.2500 0.2356  3 Zr 3.09-3.32, 3 Pu 3.24-3.36, 2 N 3.39-3.41
N 0.0029 0.7500 0.8769  3 Zr 2.13-2.19, 1 Pu 2.24
N 0.0260 0.7500 0.3845  1 Zr 2.17, 3 Pu 2.21-2.25
N 0.9740 0.2500 0.6155  1 Zr 2.17, 3 Pu 2.21-2.25
N 0.9971 0.2500 0.1231  3 Zr 2.13-2.19, 1 Pu 2.24

=====

Density functional theory data (GGA-PBE) for Na2MoH after structural relaxation.

Computed properties:
As for the symmetry: Fm-3m (225). As for the energy above the most stable polymorph in this dataset: 1.21 eV/f.u.

a = 5.1839 Å, b = 5.1839 Å, c = 5.1839 Å
α = 60.00°, β = 60.00°, γ = 60.00°
Closest atoms and distances in Å follow each position.
Sites, in units of the cell vectors:
Na 0.2500 0.2500 0.2500  4 H 3.17, 4 Mo 3.17
Na 0.7500 0.7500 0.7500  4 H 3.17, 4 Mo 3.17
Mo 0.0000 0.0000 0.0000  8 Na 3.17
H 0.5000 0.5000 0.5000  8 Na 3.17

=====

Density functional theory data (GGA-PBE) for Mn3HOs after structural relaxation.

Computed properties:
As for the symmetry: R3m (160). As for the energy above the most stable polymorph in this dataset: 2.81 eV/f.u.

a = 4.1322 Å, b = 4.1322 Å, c = 4.1322 Å
α = 107.51°, β = 107.51°, γ = 107.51°
Closest atoms and distances in Å follow each position.
Sites, in units of the cell vectors:
Mn 0.1988 0.1988 0.6025  1 H 1.71
Mn 0.1988 0.6025 0.1988  1 H 1.71
Mn 0.6025 0.1988 0.1988  1 H 1.71
H 0.4902 0.4902 0.4902  3 Mn 1.71, 1 Os 1.72
Os 0.8703 0.8703 0.8703  1 H 1.72

=====

Density functional theory data (GGA-PBE) for LiAs2Cl after structural relaxation.

Computed properties:
As for the symmetry: P4/mmm (123). For the formation energy (no corrections), the calculation gives 109 meV per atom. As for the energy above the most stable polymorph in this dataset: 3.72 eV/f.u.

a = 5.1575 Å, b = 5.1575 Å, c = 2.8590 Å
α = 90.00°, β = 90.00°, γ = 90.00°
Closest atoms and distances in Å follow each position.
Sites, in units of the cell vectors:
Li 0.0000 0.0000 0.0000  2 Li 2.86, 8 As 2.95
As 0.0000 0.5000 0.5000  2 As 2.86, 4 Cl 2.95, 4 Li 2.95
As 0.5000 0.0000 0.5000  2 As 2.86, 4 Cl 2.95, 4 Li 2.95
Cl 0.5000 0.5000 0.0000  2 Cl 2.86, 8 As 2.95

=====

Density functional theory data (GGA-PBE) for SnPb3Se after structural relaxation.

Computed properties:
As for the symmetry: Pm-3m (221). For the formation energy (no corrections), the calculation gives 535 meV per atom. As for the energy above the most stable polymorph in this dataset: 1.51 eV/f.u.

a = 5.8362 Å, b = 5.8362 Å, c = 5.8362 Å
α = 90.00°, β = 90.00°, γ = 90.00°
Closest atoms and distances in Å follow each position.
Sites, in units of the cell vectors:
Sn 0.0000 0.0000 0.0000  6 Pb 2.92
Pb 0.0000 0.0000 0.5000  2 Sn 2.92
Pb 0.0000 0.5000 0.0000  2 Sn 2.92
Pb 0.5000 0.0000 0.0000  2 Sn 2.92
Se 0.5000 0.5000 0.5000  12 Pb 4.13

=====

Density functional theory data (GGA-PBE) for CaBeFe2Br after structural relaxation.

Computed properties:
As for the symmetry: P4/mmm (123). For the formation energy (no corrections), the calculation gives 1862 meV per atom.

a = 5.3403 Å, b = 5.3403 Å, c = 5.4148 Å
α = 90.00°, β = 90.00°, γ = 90.00°
Closest atoms and distances in Å follow each position.
Sites, in units of the cell vectors:
Ca 0.0000 0.0000 0.0000  4 Fe 2.67, 2 Be 2.71
Be 0.0000 0.0000 0.5000  2 Ca 2.71
Fe 0.0000 0.5000 0.0000  2 Ca 2.67
Fe 0.5000 0.0000 0.0000  2 Ca 2.67
Br 0.5000 0.5000 0.5000  4 Be 3.78, 8 Fe 3.80

=====

Density functional theory data (GGA-PBE) for ScCd2Pt2 after structural relaxation.

Computed properties:
As for the symmetry: P4/mbm (127). The calculation puts the formation energy at -0.565 eV per atom. As for the energy above the most stable polymorph in this dataset: 0.00 eV/f.u.

a = 6.9639 Å, b = 6.9639 Å, c = 4.0566 Å
α = 90.00°, β = 90.00°, γ = 90.00°
Closest atoms and distances in Å follow each position.
Sites, in units of the cell vectors:
Sc 0.0000 0.0000 0.0000  4 Pt 2.70
Sc 0.5000 0.5000 0.0000  4 Pt 2.70
Cd 0.1636 0.3364 0.5000  6 Pt 2.82-2.92
Cd 0.3364 0.8364 0.5000  6 Pt 2.82-2.92
Cd 0.6636 0.1636 0.5000  6 Pt 2.82-2.92
Cd 0.8364 0.6636 0.5000  6 Pt 2.82-2.92
Pt 0.1374 0.6374 0.0000  2 Sc 2.70, 1 Pt 2.71, 6 Cd 2.82-2.92
Pt 0.3626 0.1374 0.0000  2 Sc 2.70, 1 Pt 2.71, 6 Cd 2.82-2.92
Pt 0.6374 0.8626 0.0000  2 Sc 2.70, 1 Pt 2.71, 6 Cd 2.82-2.92
Pt 0.8626 0.3626 0.0000  2 Sc 2.70, 1 Pt 2.71, 6 Cd 2.82-2.92

=====

Density functional theory data (GGA-PBE) for EuYIn after structural relaxation.

Computed properties:
As for the symmetry: P3m1 (156). The calculation puts the formation energy at -0.224 eV per atom.

a = 5.3919 Å, b = 5.3919 Å, c = 3.6462 Å
α = 90.00°, β = 90.00°, γ = 120.00°
Closest atoms and distances in Å follow each position.
Sites, in units of the cell vectors:
Eu 0.0000 0.0000 0.0000  3 In 3.37, 6 Y 3.47-3.76, 2 Eu 3.65
Y 0.3333 0.6667 0.5794  3 In 3.22, 3 Eu 3.47
In 0.6667 0.3333 0.3527  3 Y 3.22, 3 Eu 3.37

=====

Density functional theory data (GGA-PBE) for TlInSbTe3 after structural relaxation.

Computed properties:
As for the symmetry: P2_1/m (11). For the formation energy (no corrections), the calculation gives -180 meV per atom.

a = 9.1800 Å, b = 4.4684 Å, c = 11.1113 Å
α = 90.00°, β = 101.70°, γ = 90.00°
Closest atoms and distances in Å follow each position.
Sites, in units of the cell vectors:
Tl 0.1917 0.2500 0.2195  5 Te 3.40-3.61, 2 In 3.71
Tl 0.8083 0.7500 0.7805  5 Te 3.40-3.61, 2 In 3.71
In 0.0445 0.2500 0.6337  4 Te 2.95-3.05
In 0.9555 0.7500 0.3663  4 Te 2.95-3.05
Sb 0.3337 0.7500 0.8745  6 Te 3.06-3.28
Sb 0.6663 0.2500 0.1255  6 Te 3.06-3.28
Te 0.1100 0.2500 0.9053  1 In 2.95, 2 Sb 3.10
Te 0.2299 0.7500 0.5738  3 In 2.97-3.05, 1 Sb 3.28
Te 0.4441 0.7500 0.1537  3 Sb 3.06-3.08, 2 Tl 3.40
Te 0.5559 0.2500 0.8463  3 Sb 3.06-3.08, 2 Tl 3.40
Te 0.7701 0.2500 0.4262  3 In 2.97-3.05, 1 Sb 3.28
Te 0.8900 0.7500 0.0947  1 In 2.95, 2 Sb 3.10

=====

Density functional theory data (GGA-PBE) for Y2GaGe4Pt3 after structural relaxation.

Computed properties:
As for the symmetry: P-4m2 (115). The calculation puts the formation energy at -0.788 eV per atom.

a = 4.1370 Å, b = 4.1370 Å, c = 11.0303 Å
α = 90.00°, β = 90.00°, γ = 90.00°
Closest atoms and distances in Å follow each position.
Sites, in units of the cell vectors:
Y 0.0000 0.5000 0.2420  4 Ge 3.12, 6 Pt 3.22-3.38, 2 Ga 3.38
Y 0.5000 0.0000 0.7580  4 Ge 3.12, 6 Pt 3.22-3.38, 2 Ga 3.38
Ga 0.5000 0.5000 0.0000  4 Ge 2.60
Ge 0.0000 0.0000 0.5000  4 Pt 2.56
Ge 0.0000 0.5000 0.8573  3 Pt 2.43-2.60, 2 Ga 2.60
Ge 0.5000 0.0000 0.1427  3 Pt 2.43-2.60, 2 Ga 2.60
Ge 0.5000 0.5000 0.5000  4 Pt 2.56
Pt 0.0000 0.0000 0.0000  4 Ge 2.60
Pt 0.0000 0.5000 0.6366  5 Ge 2.43-2.56
Pt 0.5000 0.0000 0.3634  5 Ge 2.43-2.56

=====

Density functional theory data (GGA-PBE) for CdAgCl3 after structural relaxation.

Computed properties:
As for the symmetry: C2/m (12). For the formation energy (no corrections), the calculation gives -817 meV per atom. As for the energy above the most stable polymorph in this dataset: 0.00 eV/f.u.

a = 8.6271 Å, b = 8.6271 Å, c = 7.8172 Å
α = 98.72°, β = 98.72°, γ = 27.10°
Closest atoms and distances in Å follow each position.
Sites, in units of the cell vectors:
Cd 0.1679 0.1679 0.3355  6 Cl 2.59-2.74
Cd 0.8321 0.8321 0.6645  6 Cl 2.59-2.74
Ag 0.4376 0.4376 0.1224  3 Cl 2.51-2.55
Ag 0.5624 0.5624 0.8776  3 Cl 2.51-2.55
Cl 0.0115 0.0115 0.2687  2 Ag 2.55, 1 Cd 2.59
Cl 0.3194 0.3194 0.8829  1 Ag 2.51, 2 Cd 2.68
Cl 0.3289 0.3289 0.4272  3 Cd 2.68-2.74
Cl 0.6711 0.6711 0.5728  3 Cd 2.68-2.74
Cl 0.6806 0.6806 0.1171  1 Ag 2.51, 2 Cd 2.68
Cl 0.9885 0.9885 0.7313  2 Ag 2.55, 1 Cd 2.59

=====

Number 1: calculated total energy -2.487 eV/atom. Number 2: calculated total energy -9.834 eV/atom. Number 3: calculated total energy -2.743 eV/atom. Number 4: calculated total energy -7.898 eV/atom. Number 5: calculated total energy -3.156 eV/atom. Number 6: calculated total energy -3.187 eV/atom. Number 7: calculated total energy -3.003 eV/atom. Number 8: calculated total energy -4.614 eV/atom. Number 9: calculated total energy -6.716 eV/atom. Number 10: calculated total energy -3.288 eV/atom. Number 11: calculated total energy -6.043 eV/atom. Number 12: calculated total energy -2.678 eV/atom.